1.
The following is a PBE-GGA calculation of crystalline Ca2Pm3Tl2 at its relaxed geometry, from Alexandria.

VASP energy	-3.453	eV per atom
E_form	-0.169	eV/atom
mass density	6583	kg/m³

Cell: 4.8997 6.1949 8.7662 Å, 106.04 90.00 113.29°
Fractional positions:
Ca (0.8661, 0.7322, 0.2172)
Ca (0.1339, 0.2678, 0.7828)
Pm (0.5000, 0.0000, 0.0000)
Pm (0.6315, 0.2630, 0.4419)
Pm (0.3685, 0.7370, 0.5581)
Tl (0.8298, 0.6597, 0.8021)
Tl (0.1702, 0.3403, 0.1979)

2.
The following is a PBE-GGA calculation of crystalline CaPm4Tl4 at its relaxed geometry, from Alexandria.

VASP energy	-3.592	eV per atom
E_form	-0.207	eV/atom
mass density	8623	kg/m³

Cell: 6.1575 9.4828 9.4828 Å, 90.00 90.00 90.00°
Fractional positions:
Ca (0.0000, 0.0000, 0.0000)
Ca (0.5000, 0.5000, 0.5000)
Pm (0.3716, 0.4211, 0.8382)
Pm (0.8716, 0.6618, 0.9211)
Pm (0.3716, 0.5789, 0.1618)
Pm (0.1284, 0.0789, 0.6618)
Pm (0.6284, 0.8382, 0.5789)
Pm (0.1284, 0.9211, 0.3382)
Pm (0.8716, 0.3382, 0.0789)
Pm (0.6284, 0.1618, 0.4211)
Tl (0.6194, 0.8975, 0.2060)
Tl (0.6194, 0.1025, 0.7940)
Tl (0.1194, 0.7060, 0.6025)
Tl (0.8806, 0.3975, 0.7060)
Tl (0.8806, 0.6025, 0.2940)
Tl (0.3806, 0.2060, 0.1025)
Tl (0.3806, 0.7940, 0.8975)
Tl (0.1194, 0.2940, 0.3975)

3.
The following is a PBE-GGA calculation of crystalline CaPm5Tl2 at its relaxed geometry, from Alexandria.

VASP energy	-3.935	eV per atom
E_form	-0.124	eV/atom
mass density	7514	kg/m³

Cell: 3.7250 8.5858 8.5858 Å, 80.11 77.47 77.47°
Fractional positions:
Ca (0.0000, 0.0000, 0.0000)
Pm (0.0000, 0.5000, 0.5000)
Pm (0.6411, 0.5745, 0.1434)
Pm (0.3589, 0.4255, 0.8566)
Pm (0.3589, 0.8566, 0.4255)
Pm (0.6411, 0.1434, 0.5745)
Tl (0.7265, 0.7735, 0.7735)
Tl (0.2735, 0.2265, 0.2265)

4.
The following is a PBE-GGA calculation of crystalline CaPm8Tl2 at its relaxed geometry, from Alexandria.

VASP energy	-3.813	eV per atom
E_form	0.254	eV/atom
mass density	6429	kg/m³

Cell: 5.0447 9.3615 9.3615 Å, 73.29 81.12 81.12°
Fractional positions:
Ca (0.0000, 0.0000, 0.0000)
Pm (0.7871, 0.1645, 0.6361)
Pm (0.2129, 0.3639, 0.8355)
Pm (0.8684, 0.2455, 0.2455)
Pm (0.1316, 0.7545, 0.7545)
Pm (0.7871, 0.6361, 0.1645)
Pm (0.2129, 0.8355, 0.3639)
Pm (0.2887, 0.4242, 0.4242)
Pm (0.7113, 0.5758, 0.5758)
Tl (0.4463, 0.1235, 0.1235)
Tl (0.5537, 0.8765, 0.8765)

5.
The following is a PBE-GGA calculation of crystalline Ca2Pm2Tl7 at its relaxed geometry, from Alexandria.

VASP energy	-2.749	eV per atom
E_form	-0.016	eV/atom
mass density	8044	kg/m³

Cell: 6.9914 7.8628 6.9914 Å, 90.01 104.70 89.99°
Fractional positions:
Ca (0.8051, 0.5000, 0.8051)
Ca (0.1949, 0.5000, 0.1949)
Pm (0.6979, 0.0000, 0.3021)
Pm (0.3021, 0.0000, 0.6979)
Tl (0.9998, 0.2977, 0.5003)
Tl (0.5003, 0.7023, 0.9998)
Tl (0.0002, 0.7023, 0.4997)
Tl (0.4997, 0.2977, 0.0002)
Tl (0.0000, 0.0000, 0.0000)
Tl (0.5002, 0.7101, 0.4998)
Tl (0.4998, 0.2899, 0.5002)

6.
The following is a PBE-GGA calculation of crystalline Ca2Pm3Tl4 at its relaxed geometry, from Alexandria.

VASP energy	-3.309	eV per atom
E_form	-0.229	eV/atom
E above lowest polymorph	113	meV/atom
mass density	7509	kg/m³

Cell: 7.4575 9.4705 9.1409 Å, 90.00 114.07 90.00°
Fractional positions:
Ca (0.1094, 0.5709, 0.2187)
Ca (0.8906, 0.4291, 0.7813)
Ca (0.3906, 0.0709, 0.7813)
Ca (0.6094, 0.9291, 0.2187)
Pm (0.0000, 0.0000, 0.0000)
Pm (0.5000, 0.5000, 0.0000)
Pm (0.5347, 0.7500, 0.5693)
Pm (0.9653, 0.2500, 0.4307)
Pm (0.4653, 0.2500, 0.4307)
Pm (0.0347, 0.7500, 0.5693)
Tl (0.7228, 0.7500, 0.9455)
Tl (0.7772, 0.2500, 0.0545)
Tl (0.2772, 0.2500, 0.0545)
Tl (0.2228, 0.7500, 0.9455)
Tl (0.1895, 0.9665, 0.3790)
Tl (0.8105, 0.0335, 0.6210)
Tl (0.3105, 0.4665, 0.6210)
Tl (0.6895, 0.5335, 0.3790)

7.
The following is a PBE-GGA calculation of crystalline Ca3Pm2Tl4 at its relaxed geometry, from Alexandria.

VASP energy	-3.115	eV per atom
E_form	-0.341	eV/atom
E above lowest polymorph	0	meV/atom
mass density	7435	kg/m³

Cell: 5.4539 5.4575 10.6357 Å, 89.97 90.00 60.02°
Fractional positions:
Ca (0.3336, 0.3327, 0.4194)
Ca (0.0000, 0.0000, 0.0000)
Ca (0.6664, 0.6673, 0.5806)
Pm (0.3333, 0.3335, 0.7950)
Pm (0.6667, 0.6665, 0.2050)
Tl (0.6666, 0.6668, 0.8932)
Tl (0.0005, 0.9990, 0.3396)
Tl (0.9995, 0.0010, 0.6604)
Tl (0.3334, 0.3332, 0.1068)

8.
The following is a PBE-GGA calculation of crystalline Ca5PmTl6 at its relaxed geometry, from Alexandria.

VASP energy	-2.846	eV per atom
E_form	-0.433	eV/atom
mass density	7407	kg/m³

Cell: 5.4800 7.8242 9.5082 Å, 65.70 73.19 90.00°
Fractional positions:
Ca (0.6691, 0.1692, 0.6616)
Ca (0.3330, 0.3330, 0.3341)
Ca (0.0000, 0.5000, 0.0000)
Ca (0.6670, 0.6670, 0.6659)
Ca (0.3309, 0.8308, 0.3384)
Tl (0.8344, 0.5830, 0.3316)
Tl (0.8344, 0.0855, 0.3317)
Tl (0.5000, 0.7492, 0.0000)
Tl (0.5000, 0.2508, 0.0000)
Tl (0.1656, 0.9145, 0.6683)
Tl (0.1656, 0.4170, 0.6684)
Pm (0.0000, 0.0000, 0.0000)